Density functional theory data (PBE) for a geometry-optimized CaRuSe3 structure.

Computed properties:
**Relative energy among the computed polymorphs**: 1.202 eV/atom
**Raw formation energy**: 0.827 eV/atom
**DOS(E_F)**: 3.10 states/eV per atom
**E**: -17.598 eV/cell
**M_tot**: 3.0 μB per formula unit

Cell lengths 5.3509, 5.3509, 5.3509 Å; angles 90.00, 90.00, 90.00 degrees
Last column: nearest neighbours and their distance in Å.
Element x y z (fractional)
1 Ca 0.0000 0.0000 0.0000  6 Se 2.68
2 Ru 0.5000 0.5000 0.5000  12 Se 3.78
3 Se 0.0000 0.0000 0.5000  2 Ca 2.68
4 Se 0.0000 0.5000 0.0000  2 Ca 2.68
5 Se 0.5000 0.0000 0.0000  2 Ca 2.68

***

Density functional theory data (PBE) for a geometry-optimized Ca2RuSe structure.

Computed properties:
**Raw formation energy**: -0.594 eV/atom
**DOS(E_F)**: 0.02 states/eV per atom
**E**: -19.141 eV/cell
**M_tot**: 0.0 μB per formula unit

Cell lengths 4.4508, 3.7479, 6.0166 Å; angles 90.00, 111.58, 90.00 degrees
Last column: nearest neighbours and their distance in Å.
Element x y z (fractional)
1 Ca 0.0000 0.0000 0.0000  4 Se 3.03, 3 Ru 3.12-3.34
2 Ca 0.2853 0.5000 0.5678  4 Ru 2.99, 3 Se 3.21-3.26
3 Ru 0.7232 0.0000 0.4431  2 Se 2.49
4 Se 0.5750 0.5000 0.1508  2 Ru 2.49